a | # PrYMgRu

A relaxed structure of PrYMgRu (PBE, Alexandria).

Cell lengths 5.132, 5.132, 5.132 Å; angles 60.00, 60.00, 60.00 degrees
Sites, in units of the cell vectors:
Pr 0.000 0.000 0.000
Y 0.500 0.500 0.500
Mg 0.750 0.750 0.750
Ru 0.250 0.250 0.250



b | # PrYMgRu

A relaxed structure of PrYMgRu (PBE, Alexandria).

Cell lengths 3.512, 3.512, 8.247 Å; angles 90.00, 90.00, 90.00 degrees
Sites, in units of the cell vectors:
Pr 0.000 0.000 0.000
Y 0.000 0.000 0.589
Mg 0.500 0.500 0.306
Ru 0.500 0.500 0.783



Preferred: b; penalty for the next structure: 75 meV/atom.



a | # PrMgSb

A relaxed structure of PrMgSb (PBE, Alexandria).

Cell lengths 4.756, 4.756, 4.195 Å; angles 90.00, 90.00, 120.00 degrees
Sites, in units of the cell vectors:
Pr 0.000 0.000 0.000
Mg 0.333 0.667 0.498
Sb 0.667 0.333 0.501



b | # PrMgSb

A relaxed structure of PrMgSb (PBE, Alexandria).

Cell lengths 4.195, 4.698, 4.868 Å; angles 90.00, 90.00, 90.00 degrees
Sites, in units of the cell vectors:
Pr 0.000 0.000 0.000
Mg 0.000 0.500 0.500
Sb 0.500 0.000 0.500



Preferred: a; penalty for the next structure: 208 meV/atom.